This record from Alexandria describes a geometry-optimized Ac3GaCo structure. The functional is PBE.

Properties
**Polymorph energy (0 for the lowest one)**: 0.079 eV per atom
**Spin magnetization**: 0.00 μB/f.u.
**Formation energy**: -0.094 eV/atom
**E**: -0.1685 Ha/atom
**Volume**: 33.21 Å³/atom

abc: 5.496 5.496 5.496
angles: 90.00 90.00 90.00
Space group Pm-3m (No. 221)
One atom of each set of equivalent atoms:
Ac 0.000 0.000 0.500 (multiplicity 3)
Ga 0.500 0.500 0.500 (multiplicity 1)
Co 0.000 0.000 0.000 (multiplicity 1)

=====

This record from Alexandria describes a geometry-optimized AcGa4Co structure. The functional is PBE.

Properties
**Polymorph energy (0 for the lowest one)**: 0.273 eV per atom
**Spin magnetization**: 0.00 μB/f.u.
**Formation energy**: -0.169 eV/atom
**E**: -0.1490 Ha/atom
**Volume**: 23.78 Å³/atom

abc: 4.573 4.573 6.823
angles: 90.00 90.06 90.00
Space group P2/m (No. 10)
One atom of each set of equivalent atoms:
Ac 0.000 0.000 0.000 (multiplicity 1)
Ga 0.000 0.500 0.500 (multiplicity 1)
Ga 0.500 0.000 0.500 (multiplicity 1)
Ga 0.500 0.500 0.171 (multiplicity 2)
Co 0.500 0.500 0.500 (multiplicity 1)

=====

This record from Alexandria describes a geometry-optimized Ac8Ga2Co structure. The functional is PBE.

Properties
**Spin magnetization**: 0.00 μB/f.u.
**Formation energy**: -0.135 eV/atom
**E**: -0.1587 Ha/atom
**Volume**: 37.44 Å³/atom

abc: 20.117 4.503 9.106
angles: 90.00 93.17 90.00
Space group C2/m (No. 12)
One atom of each set of equivalent atoms:
Ac 0.005 0.000 0.204 (multiplicity 4)
Ac 0.096 0.500 0.518 (multiplicity 4)
Ac 0.146 0.500 0.991 (multiplicity 4)
Ac 0.226 0.000 0.334 (multiplicity 4)
Ga 0.167 0.000 0.732 (multiplicity 4)
Co 0.000 0.500 0.000 (multiplicity 2)